A plane-wave DFT calculation with PBE was carried out for Th6BiRu3 after structural relaxation.

Properties
SG = P2_1/m (11)
ΔH_f (0 K) = -41 kJ/mol of atoms
Crystal system = monoclinic

Unit cell a=4.186 b=11.722 c=12.365 alpha=105.36 beta=90.00 gamma=90.00
Fractional coordinates of all 20 atoms:
Th1 0.250 0.079 0.905
Th2 0.250 0.829 0.539
Th3 0.750 0.921 0.095
Th4 0.750 0.698 0.258
Th5 0.250 0.209 0.216
Th6 0.250 0.613 0.958
Th7 0.250 0.503 0.380
Th8 0.750 0.171 0.461
Th9 0.750 0.497 0.620
Th10 0.750 0.791 0.784
Th11 0.250 0.302 0.742
Th12 0.750 0.387 0.042
Ru1 0.750 0.152 0.069
Ru2 0.750 0.471 0.838
Ru3 0.250 0.337 0.521
Ru4 0.750 0.663 0.479
Ru5 0.250 0.848 0.931
Ru6 0.250 0.529 0.162
Bi1 0.750 0.049 0.679
Bi2 0.250 0.951 0.321

---

A plane-wave DFT calculation with PBE was carried out for CuNi2 after structural relaxation.

Properties
SG = I4_1/amd (141)
ΔH_f (0 K) = 18 kJ/mol of atoms
Crystal system = tetragonal

Unit cell a=11.670 b=11.670 c=11.670 alpha=167.93 beta=167.93 gamma=17.11
Fractional coordinates of all 6 atoms:
Cu1 0.750 0.250 0.500
Cu2 0.000 0.000 0.000
Ni1 0.419 0.419 0.000
Ni2 0.581 0.581 0.000
Ni3 0.331 0.831 0.500
Ni4 0.169 0.669 0.500

---

A plane-wave DFT calculation with PBE was carried out for Pm2ZnSn3Pt4 after structural relaxation.

Properties
SG = P-4m2 (115)
ΔH_f (0 K) = -78 kJ/mol of atoms
Crystal system = tetragonal

Unit cell a=4.482 b=4.482 c=10.833 alpha=90.00 beta=90.00 gamma=90.00
Fractional coordinates of all 10 atoms:
Pt1 0.500 0.500 0.000
Pt2 0.000 0.500 0.371
Pt3 0.500 0.000 0.629
Pt4 0.000 0.000 0.000
Sn1 0.500 0.000 0.867
Sn2 0.000 0.000 0.500
Sn3 0.000 0.500 0.133
Zn1 0.500 0.500 0.500
Pm1 0.500 0.000 0.256
Pm2 0.000 0.500 0.744

---

A plane-wave DFT calculation with PBE was carried out for TbTm2Sc3 after structural relaxation.

Properties
SG = P2_1/m (11)
ΔH_f (0 K) = 5 kJ/mol of atoms
Crystal system = monoclinic

Unit cell a=3.419 b=5.925 c=16.452 alpha=96.90 beta=90.00 gamma=90.00
Fractional coordinates of all 12 atoms:
Tm1 0.250 0.750 0.500
Tm2 0.250 0.973 0.167
Tm3 0.750 0.027 0.833
Tm4 0.750 0.250 0.500
Tb1 0.750 0.472 0.167
Tb2 0.250 0.528 0.833
Sc1 0.750 0.752 0.001
Sc2 0.250 0.248 0.999
Sc3 0.250 0.361 0.334
Sc4 0.750 0.639 0.666
Sc5 0.750 0.862 0.333
Sc6 0.250 0.138 0.667

---

A plane-wave DFT calculation with PBE was carried out for La2Y3Th3 after structural relaxation.

Properties
SG = P-62m (189)
ΔH_f (0 K) = 18 kJ/mol of atoms
Crystal system = hexagonal

Unit cell a=3.712 b=9.148 c=9.148 alpha=119.99 beta=90.00 gamma=90.00
Fractional coordinates of all 8 atoms:
Th1 0.000 0.225 0.225
Th2 0.000 0.000 0.775
Th3 0.000 0.775 0.000
Y1 0.500 0.000 0.392
Y2 0.500 0.392 0.000
Y3 0.500 0.608 0.608
La1 0.000 0.666 0.333
La2 0.000 0.333 0.666

---

A plane-wave DFT calculation with PBE was carried out for Sc3Be2Co7 after structural relaxation.

Properties
SG = R-3m (166)
ΔH_f (0 K) = -32 kJ/mol of atoms
Crystal system = trigonal

Unit cell a=4.828 b=4.828 c=7.963 alpha=72.35 beta=72.35 gamma=60.00
Fractional coordinates of all 12 atoms:
Sc1 0.000 0.000 0.000
Sc2 0.141 0.141 0.578
Sc3 0.859 0.859 0.422
Co1 0.924 0.420 0.236
Co2 0.420 0.420 0.236
Co3 0.076 0.580 0.764
Co4 0.420 0.924 0.236
Co5 0.500 0.500 0.500
Co6 0.580 0.580 0.764
Co7 0.580 0.076 0.764
Be1 0.334 0.334 0.997
Be2 0.666 0.666 0.003

---

A plane-wave DFT calculation with PBE was carried out for Cs2ZnBi2S5 after structural relaxation.

Properties
SG = Pnma (62)
Energy = -157.4 eV per cell
Crystal system = orthorhombic

Unit cell a=4.154 b=16.049 c=18.405 alpha=90.00 beta=90.00 gamma=90.00
Fractional coordinates of all 40 atoms:
Bi1 0.250 0.790 0.199
Bi2 0.750 0.249 0.483
Bi3 0.750 0.210 0.801
Bi4 0.250 0.290 0.301
Bi5 0.250 0.751 0.517
Bi6 0.250 0.251 0.983
Bi7 0.750 0.710 0.699
Bi8 0.750 0.749 0.017
Zn1 0.250 0.207 0.643
Zn2 0.750 0.293 0.143
Zn3 0.250 0.707 0.857
Zn4 0.750 0.793 0.357
Cs1 0.750 0.037 0.119
Cs2 0.250 0.963 0.881
Cs3 0.750 0.495 0.878
Cs4 0.750 0.995 0.622
Cs5 0.250 0.463 0.619
Cs6 0.250 0.505 0.122
Cs7 0.250 0.005 0.378
Cs8 0.750 0.537 0.381
S1 0.750 0.358 0.028
S2 0.250 0.714 0.346
S3 0.750 0.786 0.846
S4 0.250 0.642 0.972
S5 0.250 0.214 0.154
S6 0.750 0.286 0.654
S7 0.250 0.820 0.649
S8 0.250 0.865 0.063
S9 0.250 0.142 0.528
S10 0.750 0.635 0.563
S11 0.250 0.610 0.758
S12 0.750 0.180 0.351
S13 0.750 0.680 0.149
S14 0.750 0.135 0.937
S15 0.750 0.890 0.258
S16 0.750 0.858 0.472
S17 0.250 0.320 0.851
S18 0.250 0.365 0.437
S19 0.250 0.110 0.742
S20 0.750 0.390 0.242

---

A plane-wave DFT calculation with PBE was carried out for GdTlNiAg after structural relaxation.

Properties
SG = F-43m (216)
ΔH_f (0 K) = -13 kJ/mol of atoms
Crystal system = cubic

Unit cell a=4.873 b=4.873 c=4.873 alpha=60.00 beta=60.00 gamma=60.00
Fractional coordinates of all 4 atoms:
Ag1 0.250 0.250 0.250
Tl1 0.000 0.000 0.000
Gd1 0.500 0.500 0.500
Ni1 0.750 0.750 0.750

---

A plane-wave DFT calculation with PBE was carried out for Sm3Dy2HoEr6 after structural relaxation.

Properties
SG = C2/m (12)
ΔH_f (0 K) = 2 kJ/mol of atoms
Crystal system = monoclinic

Unit cell a=6.140 b=6.140 c=11.707 alpha=95.00 beta=95.00 gamma=119.96
Fractional coordinates of all 12 atoms:
Er1 0.749 0.749 0.248
Er2 0.251 0.251 0.752
Er3 0.584 0.917 0.752
Er4 0.083 0.416 0.248
Er5 0.416 0.083 0.248
Er6 0.917 0.584 0.752
Dy1 0.333 0.667 0.000
Dy2 0.667 0.333 0.000
Sm1 0.833 0.167 0.500
Sm2 0.167 0.833 0.500
Sm3 0.500 0.500 0.500
Ho1 0.000 0.000 0.000

---

A plane-wave DFT calculation with PBE was carried out for Sr2CaTbS4 after structural relaxation.

Properties
SG = P2/m (10)
Energy = -43.2 eV per cell
Crystal system = monoclinic

Unit cell a=4.099 b=7.115 c=7.169 alpha=109.24 beta=90.00 gamma=90.00
Fractional coordinates of all 8 atoms:
S1 0.500 0.751 0.768
S2 0.000 0.260 0.769
S3 0.000 0.740 0.231
S4 0.500 0.249 0.232
Tb1 0.500 0.500 0.000
Sr1 0.000 0.500 0.500
Sr2 0.500 0.000 0.500
Ca1 0.000 0.000 0.000

---

A plane-wave DFT calculation with PBE was carried out for KY2As after structural relaxation.

Properties
SG = C2/m (12)
ΔH_f (0 K) = -51 kJ/mol of atoms
Crystal system = monoclinic

Unit cell a=4.007 b=4.007 c=10.861 alpha=79.47 beta=79.47 gamma=60.02
Fractional coordinates of all 4 atoms:
As1 0.750 0.750 0.750
K1 0.250 0.250 0.250
Y1 0.033 0.033 0.903
Y2 0.467 0.467 0.597